Material: NdAlHg6
Method: DFT, PBE-GGA
State: optimized geometry

The structure in POSCAR format:
```
NdAlHg6
1.0
3.072 1.773 8.138
-3.072 1.773 8.138
0.000 -3.547 8.138
Nd Al Hg
1 1 6
direct
0.000 0.000 0.000 Nd
0.500 0.500 0.500 Al
0.066 0.066 0.554 Hg
0.066 0.554 0.066 Hg
0.446 0.934 0.934 Hg
0.554 0.066 0.066 Hg
0.934 0.446 0.934 Hg
0.934 0.934 0.446 Hg
```

Material: Nd4AlHg2
Method: DFT, PBE-GGA
State: optimized geometry

The structure in POSCAR format:
```
Nd4AlHg2
1.0
-2.698 2.698 7.224
2.698 -2.698 7.224
2.698 2.698 -7.224
Nd Al Hg
4 1 2
direct
0.118 0.618 0.500 Nd
0.382 0.882 0.500 Nd
0.618 0.118 0.500 Nd
0.882 0.382 0.500 Nd
0.000 0.000 0.000 Al
0.246 0.246 0.000 Hg
0.754 0.754 0.000 Hg
```

One value per record, in order, for uncorrected energy: -8.80, -25.49 eV for the cell shown.
One value per record, in order, for mass density: 8.6, 7.9 g cm⁻³.